PrGe2Pd4 | PBE-GGA | relaxed

Unit cell a=4.3586 b=4.3586 c=23.6180 alpha=90.00 beta=90.00 gamma=120.00
Last column: nearest neighbours and their distance in Å.
Space group R-3m (No. 166, hexagonal axes)
Unique sites:
Pr  0.0000  0.0000  0.0000 x3  6 Ge 3.24, 8 Pd 3.30
Ge  0.0000  0.0000  0.2467 x6  7 Pd 2.52-2.81
Pd  0.0000  0.0000  0.1399 x6  4 Ge 2.52-2.81, 6 Pd 2.77-2.82
Pd  0.0000  0.0000  0.4238 x6  3 Ge 2.52, 3 Pd 2.77

Values from the calculation:
Relative energy among the computed polymorphs = 0.14 eV/f.u.
Energy of formation from the pure elements = -640 meV/atom
Total DFT energy (no corrections) = -0.412 Ry/atom
Magnetic moment = 0.0 μB/f.u.